Record 1
A relaxed structure of LaTa2NO5, computed with GGA-PBE.

Cell lengths 5.524, 7.725, 11.291 Å; angles 89.93, 90.04, 90.01 degrees
Fractional coordinates of all 36 atoms:
O1 0.231 0.537 0.025
N1 0.130 0.941 0.295
Ta1 0.968 0.492 0.142
O2 0.157 0.250 0.879
O3 0.373 0.555 0.790
N2 0.453 0.251 0.644
Ta2 0.450 0.001 0.353
O4 0.550 0.749 0.357
O5 0.226 0.964 0.025
O6 0.764 0.039 0.969
O7 0.358 0.252 0.378
O8 0.873 0.444 0.709
Ta3 0.034 0.000 0.858
O9 0.628 0.450 0.212
La1 0.953 0.754 0.464
O10 0.273 0.538 0.523
La2 0.551 0.752 0.961
O11 0.840 0.752 0.120
O12 0.874 0.058 0.709
La3 0.044 0.248 0.541
O13 0.373 0.945 0.790
Ta4 0.538 0.002 0.644
Ta5 0.036 0.504 0.856
Ta6 0.536 0.497 0.644
O14 0.726 0.034 0.478
N3 0.957 0.750 0.854
O15 0.625 0.053 0.210
N4 0.040 0.251 0.146
O16 0.136 0.559 0.290
O17 0.272 0.963 0.526
Ta7 0.460 0.496 0.356
La4 0.450 0.247 0.036
O18 0.729 0.466 0.474
O19 0.652 0.750 0.621
O20 0.773 0.464 0.975
Ta8 0.967 0.992 0.150

Computed properties:
**E_form (uncorrected)**: -2.774 eV/atom
**Energy relative to the lowest polymorph listed for this composition**: 8 meV per atom
**Energy**: -346.867 eV for the cell shown

Record 2
A relaxed structure of LaTa2NO5, computed with GGA-PBE.

Cell lengths 5.526, 7.718, 11.305 Å; angles 89.92, 90.00, 90.00 degrees
Fractional coordinates of all 36 atoms:
Ta1 0.712 0.002 0.643
Ta2 0.792 0.500 0.354
N1 0.298 0.248 0.855
La1 0.293 0.257 0.457
La2 0.204 0.744 0.534
O1 0.517 0.537 0.475
O2 0.026 0.465 0.028
N2 0.877 0.448 0.792
O3 0.881 0.051 0.787
O4 0.620 0.560 0.209
O5 0.518 0.963 0.477
O6 0.598 0.247 0.623
O7 0.975 0.035 0.525
Ta3 0.288 0.002 0.143
Ta4 0.779 0.005 0.356
O8 0.119 0.051 0.287
O9 0.794 0.752 0.643
La3 0.796 0.744 0.034
Ta5 0.221 0.005 0.856
N3 0.702 0.248 0.355
Ta6 0.713 0.492 0.650
O10 0.402 0.247 0.123
O11 0.384 0.941 0.710
O12 0.206 0.752 0.143
Ta7 0.208 0.500 0.854
N4 0.123 0.448 0.292
O13 0.101 0.752 0.881
La4 0.707 0.257 0.957
Ta8 0.287 0.492 0.150
O14 0.025 0.035 0.025
O15 0.482 0.963 0.977
O16 0.616 0.941 0.210
O17 0.899 0.752 0.381
O18 0.974 0.465 0.528
O19 0.483 0.537 0.975
O20 0.380 0.560 0.709

Computed properties:
**E_form (uncorrected)**: -2.777 eV/atom
**Energy relative to the lowest polymorph listed for this composition**: 5 meV per atom
**Energy**: -346.974 eV for the cell shown